FeHPdRh2 | PBE-GGA | optimized geometry

Unit cell a=3.878 b=3.878 c=3.912 alpha=90.00 beta=90.00 gamma=90.00
Space group P4/mmm (No. 123)
One atom of each set of equivalent atoms:
Fe1 0.000 0.000 0.000 x1
H1 0.000 0.000 0.500 x1
Pd1 0.500 0.500 0.000 x1
Rh1 0.000 0.500 0.500 x2

Summary:
Spin magnetization = 4.3 μB/f.u.
VASP energy = -6.36 eV per atom